# CsRb2TlCl

An optimized crystal structure of CsRb2TlCl (PBE, Alexandria via LeMat-Bulk).

The size of the total moment comes out at 0.000 μB per formula unit. As for the crystal system: tetragonal. As for the total energy: -2.08 eV per atom.

It has space group P4/mmm (No. 123), with a = 6.433 Å, b = 6.433 Å, c = 6.771 Å, α = 90.00°, β = 90.00° and γ = 90.00°. The inequivalent atoms are Cs at (0.000, 0.000, 0.000), Rb at (0.000, 0.500, 0.500), Tl at (0.500, 0.500, 0.000) and Cl at (0.000, 0.000, 0.500).